MnBe2Au2 | Alexandria via LeMat-Bulk | PBE | optimized geometry; M_tot = 0.00 μB/cell; density of states at the Fermi level = 4.0 states/eV/f.u.; V = 125.6 Å³ per cell; VASP energy = -4.50 eV per atom; calculated density = 12.34 g/cm³; space-group type = P4/mbm, No. 127
1.0
6.627 0.000 0.000
0.000 6.627 0.000
0.000 0.000 2.861
Mn Be Au
2 4 4
Direct
0.000 0.000 0.000
0.500 0.500 0.000
0.132 0.368 0.000
0.368 0.868 0.000
0.632 0.132 0.000
0.868 0.632 0.000
0.168 0.668 0.500
0.332 0.168 0.500
0.668 0.832 0.500
0.832 0.332 0.500


Ac2TbSmBi4 | Alexandria via LeMat-Bulk | PBE | optimized geometry; M_tot = 0.00 μB/cell; density of states at the Fermi level = 1.1 states/eV/f.u.; V = 294.6 Å³ per cell; VASP energy = -5.07 eV per atom; calculated density = 9.02 g/cm³; space-group type = P2/m, No. 10
1.0
8.145 0.000 0.000
0.000 4.708 0.000
-2.716 0.000 7.682
Ac Tb Sm Bi
2 1 1 4
Direct
0.000 0.000 0.000
0.000 0.500 0.500
0.500 0.000 0.500
0.500 0.500 0.000
0.269 0.000 0.754
0.270 0.500 0.259
0.730 0.500 0.741
0.731 0.000 0.246


FeRe2Ag | Alexandria via LeMat-Bulk | PBE | optimized geometry; energy relative to the lowest polymorph listed for this composition = 259 meV per atom; M_tot = 2.03 μB/cell; density of states at the Fermi level = 1.8 states/eV/f.u.; V = 60.2 Å³ per cell; calculated density = 14.78 g/cm³; space-group type = P4/mmm, No. 123
1.0
3.123 0.000 0.000
0.000 3.123 0.000
0.000 0.000 6.179
Fe Re Ag
1 2 1
Direct
0.000 0.000 0.000
0.500 0.500 0.201
0.500 0.500 0.799
0.000 0.000 0.500


La4AgBi | Alexandria via LeMat-Bulk | PBE | optimized geometry; M_tot = 0.00 μB/cell; density of states at the Fermi level = 8.3 states/eV/f.u.; V = 407.7 Å³ per cell; VASP energy = -4.66 eV per atom; calculated density = 7.11 g/cm³; space-group type = P2_1/c, No. 14
1.0
8.990 0.000 0.000
0.000 5.668 0.000
-0.755 0.000 8.001
La Ag Bi
8 2 2
Direct
0.131 0.003 0.357
0.131 0.497 0.857
0.337 0.000 0.851
0.337 0.500 0.351
0.663 0.000 0.149
0.663 0.500 0.649
0.869 0.503 0.143
0.869 0.997 0.643
0.000 0.000 0.000
0.000 0.500 0.500
0.500 0.000 0.500
0.500 0.500 0.000


Tb2Pr3Nd6In | Alexandria via LeMat-Bulk | PBE | optimized geometry; M_tot = 0.00 μB/cell; density of states at the Fermi level = 15.9 states/eV/f.u.; V = 404.2 Å³ per cell; VASP energy = -4.61 eV per atom; calculated density = 7.07 g/cm³; space-group type = C2/m, No. 12
1.0
3.140 -5.468 0.000
3.140 5.468 0.000
-2.163 0.000 11.771
Tb Pr Nd In
2 3 6 1
Direct
0.166 0.834 0.000
0.834 0.166 0.000
0.000 0.000 0.500
0.330 0.670 0.500
0.670 0.330 0.500
0.095 0.421 0.758
0.255 0.255 0.245
0.421 0.095 0.758
0.579 0.905 0.242
0.745 0.745 0.755
0.905 0.579 0.242
0.500 0.500 0.000


KCd2Pb | Alexandria via LeMat-Bulk | PBE | optimized geometry; energy relative to the lowest polymorph listed for this composition = 136 meV per atom; M_tot = 0.00 μB/cell; density of states at the Fermi level = 2.0 states/eV/f.u.; V = 121.5 Å³ per cell; calculated density = 6.44 g/cm³; space-group type = P4/mmm, No. 123
1.0
5.224 0.000 0.000
0.000 5.224 0.000
0.000 0.000 4.454
K Cd Pb
1 2 1
Direct
0.000 0.000 0.000
0.000 0.500 0.500
0.500 0.000 0.500
0.500 0.500 0.000


PmTmTaN3 | Alexandria via LeMat-Bulk | PBE | optimized geometry; M_tot = 0.00 μB/cell; energy relative to the elements, uncorrected = -1.134 eV per atom; density of states at the Fermi level = 2.4 states/eV/f.u.; V = 203.0 Å³ per cell; calculated density = 8.78 g/cm³; space-group type = P2_1/m, No. 11
1.0
6.523 0.000 0.000
0.000 3.321 0.000
-0.891 0.000 9.370
Pm Tm Ta N
2 2 2 6
Direct
0.201 0.250 0.241
0.799 0.750 0.759
0.341 0.750 0.885
0.659 0.250 0.115
0.145 0.250 0.580
0.855 0.750 0.420
0.114 0.250 0.789
0.200 0.750 0.462
0.399 0.750 0.123
0.601 0.250 0.877
0.800 0.250 0.538
0.886 0.750 0.211


Pm2EuIn | Alexandria via LeMat-Bulk | PBE | optimized geometry; energy relative to the lowest polymorph listed for this composition = 68 meV per atom; M_tot = 7.44 μB/cell; density of states at the Fermi level = 5.1 states/eV/f.u.; V = 124.6 Å³ per cell; calculated density = 7.42 g/cm³; space-group type = Fm-3m, No. 225
1.0
0.000 3.964 3.964
3.964 0.000 3.964
3.964 3.964 0.000
Pm Eu In
2 1 1
Direct
0.250 0.250 0.250
0.750 0.750 0.750
0.000 0.000 0.000
0.500 0.500 0.500


LaErTm5Th2 | Alexandria via LeMat-Bulk | PBE | optimized geometry; M_tot = 0.00 μB/cell; density of states at the Fermi level = 13.0 states/eV/f.u.; V = 592.7 Å³ per cell; VASP energy = -4.85 eV per atom; calculated density = 9.05 g/cm³; space-group type = I4/mcm, No. 140
1.0
-4.457 4.457 7.461
4.457 -4.457 7.461
4.457 4.457 -7.461
La Er Tm Th
2 2 10 4
Direct
0.250 0.250 0.000
0.750 0.750 0.000
0.250 0.750 0.500
0.750 0.250 0.500
0.000 0.000 0.000
0.070 0.570 0.912
0.158 0.070 0.500
0.342 0.842 0.912
0.430 0.342 0.500
0.500 0.500 0.000
0.570 0.658 0.500
0.658 0.158 0.088
0.842 0.930 0.500
0.930 0.430 0.088
0.118 0.382 0.500
0.382 0.882 0.263
0.618 0.118 0.737
0.882 0.618 0.500


Zn2CdRe | Alexandria via LeMat-Bulk | PBE | optimized geometry; M_tot = 0.55 μB/cell; density of states at the Fermi level = 3.0 states/eV/f.u.; V = 63.7 Å³ per cell; VASP energy = -3.53 eV per atom; calculated density = 11.20 g/cm³; space-group type = I-4m2, No. 119
1.0
-1.893 1.893 4.444
1.893 -1.893 4.444
1.893 1.893 -4.444
Zn Cd Re
2 1 1
Direct
0.000 0.000 0.000
0.750 0.250 0.500
0.250 0.750 0.500
0.500 0.500 0.000


CaIn9Rh2 | Alexandria via LeMat-Bulk | PBE | optimized geometry; M_tot = 0.00 μB/cell; density of states at the Fermi level = 5.2 states/eV/f.u.; V = 561.9 Å³ per cell; VASP energy = -3.61 eV per atom; calculated density = 7.56 g/cm³; space-group type = I4_1/amd, No. 141
1.0
-6.179 6.179 3.679
6.179 -6.179 3.679
6.179 6.179 -3.679
Ca In Rh
2 18 4
Direct
0.375 0.625 0.750
0.625 0.375 0.250
0.110 0.554 0.315
0.110 0.795 0.556
0.125 0.875 0.250
0.205 0.261 0.315
0.205 0.890 0.944
0.261 0.205 0.815
0.261 0.446 0.056
0.446 0.261 0.556
0.446 0.890 0.185
0.554 0.110 0.815
0.554 0.739 0.444
0.739 0.554 0.944
0.739 0.795 0.185
0.795 0.110 0.056
0.795 0.739 0.685
0.875 0.125 0.750
0.890 0.205 0.444
0.890 0.446 0.685
0.000 0.000 0.000
0.000 0.000 0.500
0.000 0.500 0.000
0.500 0.000 0.500


SrGa2I | Alexandria via LeMat-Bulk | PBE | optimized geometry; energy relative to the lowest polymorph listed for this composition = 139 meV per atom; M_tot = 0.00 μB/cell; energy relative to the elements, uncorrected = -0.034 eV per atom; density of states at the Fermi level = 4.2 states/eV/f.u.; V = 122.5 Å³ per cell; calculated density = 4.80 g/cm³; space-group type = Fm-3m, No. 225
1.0
0.000 3.942 3.942
3.942 0.000 3.942
3.942 3.942 0.000
Sr Ga I
1 2 1
Direct
0.000 0.000 0.000
0.250 0.250 0.250
0.750 0.750 0.750
0.500 0.500 0.500